Below is an optimized crystal structure of TiAg2Rh, with properties calculated at the GGA-PBE level.

Structure (POSCAR):
```
TiAg2Rh
1.0
0.0000 3.2047 3.2047
3.2047 0.0000 3.2047
3.2047 3.2047 0.0000
Ti Ag Rh
1 2 1
direct
0.0000 0.0000 0.0000
0.2500 0.2500 0.2500
0.7500 0.7500 0.7500
0.5000 0.5000 0.5000
```

Values from the calculation:
Total magnetic moment: 0.00 Bohr magnetons per cell
Space group: Fm-3m
ΔE_f: 0.14 eV per atom
ΔE to the lowest computed polymorph: 0 meV per atom
Uncorrected energy: -5.0988 eV per atom
Density: 9246 kg/m3